VASP calculation (GGA+U) on a relaxed SbMo2RuF crystal.

a b c (Å): 4.1808 5.0184 4.1808
angles (deg): 90.00 90.00 90.00
With the nearest neighbours (Å) after each atom.
Fractional positions:
Sb1 0.0000 0.5000 0.0000  2 F 2.51
Mo1 0.0000 0.0000 0.5000  2 F 2.09
Mo2 0.5000 0.0000 0.0000  2 F 2.09
F1 0.0000 0.0000 0.0000  4 Mo 2.09
Ru1 0.5000 0.5000 0.5000  4 Sb 2.96, 8 Mo 3.27

Calculated values
Crystal system: tetragonal
Space-group type: P4/mmm, No. 123
Electronic total energy in eV per atom: -5.0932
Fermi-level density of states in states/eV/f.u.: 3.2
Total moment in μB/f.u.: 4.240